Compound: Pm2VI
Source: the Alexandria database
Functional: PBE-GGA
Structure: optimized geometry

Output
Raw total energy: -4.677 eV per atom
DOS at the Fermi energy: 5.061 states/eV/f.u.
Symmetry: R-3m (166)
Raw formation energy: 0.37 eV per atom

Cell and atoms, written as extended XYZ:
```
4
Lattice="-3.132 1.440 0.927 -1.156 -0.258 3.367 3.590 9.738 3.871" Properties=species:S:1:pos:R:3 pbc="T T T"
I -0.349 5.460 4.082
V 0.000 0.000 0.000
Pm 2.275 7.290 3.231
Pm -2.972 3.631 4.933
```

***

Compound: KCdSnAu2
Source: the Alexandria database
Functional: PBE-GGA
Structure: optimized geometry

Output
Relative energy among the computed polymorphs: 2.23 eV/f.u.
Raw total energy: -2.333 eV per atom
DOS at the Fermi energy: 2.647 states/eV/f.u.
Symmetry: P4/mmm (123)
E_form: 182 meV/atom

Cell and atoms, written as extended XYZ:
```
5
Lattice="5.249 0.000 0.000 0.000 6.707 0.000 0.000 0.000 5.249" Properties=species:S:1:pos:R:3 pbc="T T T"
K 0.000 3.354 0.000
Au 0.000 0.000 2.625
Au 2.625 0.000 0.000
Sn 0.000 0.000 0.000
Cd 2.625 3.354 2.625
```

***

Compound: SrReIr
Source: the Alexandria database
Functional: PBE-GGA
Structure: optimized geometry

Output
Relative energy among the computed polymorphs: 3.05 eV/f.u.
Raw total energy: -6.608 eV per atom
DOS at the Fermi energy: 5.223 states/eV/f.u.
Symmetry: F-43m (216)
E_form: 1056 meV/atom

Cell and atoms, written as extended XYZ:
```
3
Lattice="1.480 -2.830 3.287 -2.843 -1.308 3.348 -1.519 -4.321 0.159" Properties=species:S:1:pos:R:3 pbc="T T T"
Re -0.721 -2.115 1.699
Ir -1.441 -4.229 3.397
Sr -2.162 -6.344 5.096
```

***

Question: The lowest DOS at the Fermi energy belongs to which entry?
Answer: KCdSnAu2

***

Copy entry 2 word for word.
Compound: KCdSnAu2
Source: the Alexandria database
Functional: PBE-GGA
Structure: optimized geometry

Output
Relative energy among the computed polymorphs: 2.23 eV/f.u.
Raw total energy: -2.333 eV per atom
DOS at the Fermi energy: 2.647 states/eV/f.u.
Symmetry: P4/mmm (123)
E_form: 182 meV/atom

Cell and atoms, written as extended XYZ:
```
5
Lattice="5.249 0.000 0.000 0.000 6.707 0.000 0.000 0.000 5.249" Properties=species:S:1:pos:R:3 pbc="T T T"
K 0.000 3.354 0.000
Au 0.000 0.000 2.625
Au 2.625 0.000 0.000
Sn 0.000 0.000 0.000
Cd 2.625 3.354 2.625
```

***

Question: Number 1 is which compound?
Answer: Pm2VI